Here is a geometry-optimized Ho2ErScO6 structure from the Alexandria database. Energies are from PBE-GGA.

```
10
Lattice="2.835 1.637 4.950 -2.835 1.637 4.950 0.000 -3.274 4.950" Properties=species:S:1:pos:R:3 pbc="T T T"
Ho 0.000 0.000 0.000
Ho 0.000 0.000 7.396
Er 0.000 0.000 3.224
Sc 0.000 0.000 10.588
O -0.956 -1.859 6.571
O -1.629 0.045 9.085
O -1.132 1.757 6.571
O 0.776 -1.433 9.085
O 2.088 0.102 6.571
O 0.853 1.388 9.085
```

Properties
Its space group is R3. The calculation puts the formation energy (no corrections) at -3.551 eV/atom.